The following is a PBE-GGA calculation of crystalline NbBIrAu at its relaxed geometry, from OQMD via LeMat-Bulk.

abc: 6.1429 6.1429 6.1429
angles: 90.00 90.00 90.00
Last column: nearest neighbours and their distance in Å.
Space group F-43m (No. 216)
Symmetry-distinct sites (fractional):
Nb1 0.0000 0.0000 0.0000  4 Au 2.66, 4 B 2.66
B1 0.2500 0.2500 0.2500  4 Nb 2.66, 4 Ir 2.66
Ir1 0.0000 0.0000 0.5000  4 B 2.66, 4 Au 2.66
Au1 0.2500 0.2500 0.7500  4 Nb 2.66, 4 Ir 2.66

Properties
Calculated volume   14.5 Å³ per atom
E_tot   -108.7 eV for the cell shown
Distance to the lowest polymorph of the same formula   0.0000 eV/atom